A geometry-optimized K4Tc3PbO12 structure, computed with PBE.

a b c (Å): 8.054 8.054 8.054
angles (deg): 90.00 90.00 90.00
Space group Im-3m (No. 229)
Asymmetric unit:
K (0.250, 0.250, 0.250)
Tc (0.000, 0.000, 0.500)
Pb (0.000, 0.000, 0.000)
O (0.000, 0.000, 0.264)
O (0.000, 0.250, 0.500)

Results
The uncorrected formation energy is -27.66 eV/f.u. The volume comes out at 13.06 Å³/atom. For the total magnetic moment, the calculation gives 0.0 μB/f.u.